[1]
Compound: SmYHg2
Source: Alexandria
Functional: PBE
Structure: optimized geometry

Cell: 3.7398 3.7398 7.6181 Å, 90.00 90.00 90.00°
Space group P4/mmm (No. 123)
Asymmetric unit:
Sm 0.0000 0.0000 0.0000
Y 0.0000 0.0000 0.5000
Hg 0.5000 0.5000 0.2610

Calculated values
Formation enthalpy at 0 K: -0.490 eV/atom
Calculated density: 10.0 g/cm³
Crystal system: tetragonal

=====

[2]
Compound: LaBO2
Source: Alexandria
Functional: PBE
Structure: optimized geometry

Cell: 3.3999 3.3999 18.6565 Å, 90.00 90.00 120.00°
Space group R-3m (No. 166, hexagonal axes)
Asymmetric unit:
La 0.0000 0.0000 0.0000
B 0.0000 0.0000 0.5000
O 0.0000 0.0000 0.4317

Calculated values
Calculated density: 4.8 g/cm³
Crystal system: trigonal
Formation energy without anion corrections: -1.939 eV per atom

=====

[3]
Compound: MgZnNi2
Source: Alexandria
Functional: PBE
Structure: optimized geometry

Cell: 2.7171 3.6179 5.3997 Å, 90.00 90.00 90.00°
Space group Pmm2 (No. 25)
Asymmetric unit:
Mg 0.0000 0.0000 0.0000
Zn 0.5000 0.5000 0.6960
Ni 0.0000 0.0000 0.4842
Ni 0.5000 0.5000 0.2410

Calculated values
Formation enthalpy at 0 K: -0.095 eV/atom
Calculated density: 6.5 g/cm³
Crystal system: orthorhombic

=====

What did we get for volume? Answer: 106.55 186.76 53.08 Å³ per cell, in the order shown.
What did we get for M_tot? Answer: 0.5 0.0 0.0 μB per formula unit, in the order shown.